The following is a PBE-GGA calculation of a relaxed Ba2LiPd3Pb4 crystal, from Alexandria.

It has space group P-4m2 (No. 115), with a = 4.9208 Å, b = 4.9208 Å, c = 11.1636 Å, α = 90.00°, β = 90.00° and γ = 90.00°. Symmetry generates all atoms from Ba at (0.0000, 0.5000, 0.2455), Li at (0.5000, 0.5000, 0.0000), Pd at (0.0000, 0.0000, 0.0000), Pd at (0.0000, 0.5000, 0.6307), Pb at (0.0000, 0.0000, 0.5000), Pb at (0.0000, 0.5000, 0.8792) and Pb at (0.5000, 0.5000, 0.5000).

The calculation puts the total magnetic moment at 0.00 Bohr magnetons per cell. The value obtained for the formation enthalpy at 0 K is -0.4773 eV/atom. Its density of states at the Fermi level is 6.0 states/eV/f.u.